YNiSe2 | PBE-GGA | relaxed

a b c (Å): 4.808 4.808 4.808
angles (deg): 60.00 60.00 60.00
Fractional positions:
Y 0.500 0.500 0.500
Se 0.250 0.250 0.250
Se 0.750 0.750 0.750
Ni 0.000 0.000 0.000

Properties
The magnetic moment comes out at 0.21 μB/atom. The value obtained for the energy relative to the elements, uncorrected is -0.7244 eV/atom. The space group is Fm-3m (225).

=====

YNbCu2O | PBE-GGA | relaxed

a b c (Å): 4.541 5.825 4.541
angles (deg): 90.00 90.00 90.00
Fractional positions:
Nb 0.000 0.000 0.000
O 0.500 0.500 0.500
Y 0.000 0.500 0.000
Cu 0.500 0.000 0.000
Cu 0.000 0.000 0.500

Properties
The magnetic moment comes out at 0.00 μB/atom. The value obtained for the energy relative to the elements, uncorrected is 1.2298 eV/atom. The space group is P4/mmm (123).

=====

AgSnTeAu | PBE-GGA | relaxed

a b c (Å): 4.340 4.340 13.063
angles (deg): 80.44 80.44 60.00
Fractional positions:
Sn 0.609 0.609 0.173
Sn 0.391 0.391 0.827
Te 0.890 0.890 0.330
Te 0.110 0.110 0.670
Ag 0.814 0.814 0.558
Ag 0.186 0.186 0.442
Au 0.688 0.688 0.936
Au 0.312 0.312 0.064

Properties
The magnetic moment comes out at 0.00 μB/atom. The value obtained for the energy relative to the elements, uncorrected is -0.0528 eV/atom. The space group is R-3m (166).

=====

Bi12Cl5O16 | PBE-GGA | relaxed

a b c (Å): 3.952 10.022 15.647
angles (deg): 90.94 97.25 90.00
Fractional positions:
O 0.224 0.547 0.447
O 0.318 0.097 0.636
O 0.426 0.934 0.852
O 0.866 0.011 0.733
O 0.543 0.789 0.086
O 0.896 0.281 0.791
O 0.340 0.368 0.679
O 0.134 0.989 0.267
O 0.660 0.632 0.321
O 0.104 0.719 0.209
O 0.018 0.138 0.035
O 0.457 0.211 0.914
O 0.682 0.903 0.364
O 0.574 0.066 0.148
O 0.982 0.862 0.965
O 0.776 0.453 0.553
Cl 0.220 0.210 0.439
Cl 0.889 0.636 0.778
Cl 0.780 0.790 0.561
Cl 0.111 0.364 0.222
Cl 0.000 0.500 0.000
Bi 0.059 0.933 0.119
Bi 0.350 0.909 0.700
Bi 0.824 0.217 0.648
Bi 0.411 0.389 0.822
Bi 0.704 0.448 0.407
Bi 0.941 0.067 0.881
Bi 0.589 0.611 0.178
Bi 0.296 0.552 0.593
Bi 0.176 0.783 0.352
Bi 0.650 0.091 0.300
Bi 0.470 0.757 0.940
Bi 0.530 0.243 0.060

Properties
The magnetic moment comes out at 0.00 μB/atom. The value obtained for the energy relative to the elements, uncorrected is -1.2102 eV/atom. The space group is C2/m (12).

=====

Mg5Co2H12 | PBE-GGA | relaxed

a b c (Å): 5.070 5.986 6.172
angles (deg): 104.83 90.00 115.06
Fractional positions:
H 0.402 0.314 0.075
H 0.498 0.996 0.179
H 0.091 0.685 0.421
H 0.088 0.686 0.925
H 0.998 0.997 0.825
H 0.909 0.315 0.579
H 0.502 0.004 0.821
H 0.594 0.685 0.421
H 0.598 0.686 0.925
H 0.406 0.315 0.579
H 0.912 0.314 0.075
H 0.002 0.003 0.175
Mg 0.680 0.360 0.340
Mg 0.000 0.000 0.500
Mg 0.314 0.627 0.156
Mg 0.320 0.640 0.660
Mg 0.686 0.373 0.844
Co 0.250 0.000 0.000
Co 0.750 0.000 0.000

Properties
The magnetic moment comes out at 0.00 μB/atom. Its total DFT energy (no corrections) is -64.49 eV per cell. The space group is C2/m (12).

=====

Rb2BeBiCl6 | PBE-GGA | relaxed

a b c (Å): 7.840 7.840 7.670
angles (deg): 59.26 59.26 90.00
Fractional positions:
Cl 0.755 0.245 0.000
Cl 0.322 0.322 0.357
Cl 0.245 0.755 0.000
Cl 0.678 0.678 0.643
Cl 0.755 0.755 0.000
Cl 0.245 0.245 0.000
Rb 0.750 0.250 0.500
Rb 0.250 0.750 0.500
Be 0.500 0.500 0.000
Bi 0.000 0.000 0.000

Properties
The magnetic moment comes out at 0.10 μB/atom. The value obtained for the energy relative to the elements, uncorrected is -1.2948 eV/atom. The space group is I4/mmm (139).

=====

CuI3F | PBE-GGA | relaxed

a b c (Å): 3.639 7.210 11.622
angles (deg): 100.01 90.00 90.00
Fractional positions:
I 0.250 0.386 0.680
I 0.750 0.614 0.320
I 0.750 0.245 0.982
I 0.250 0.755 0.018
I 0.250 0.934 0.681
I 0.750 0.066 0.319
Cu 0.250 0.820 0.249
Cu 0.750 0.180 0.751
F 0.750 0.654 0.660
F 0.250 0.346 0.340

Properties
The magnetic moment comes out at 0.00 μB/atom. The value obtained for the energy relative to the elements, uncorrected is -0.2315 eV/atom. The space group is P2_1/m (11).

=====

CaOs2Au | PBE-GGA | relaxed

a b c (Å): 2.936 4.730 4.961
angles (deg): 90.00 90.00 90.00
Fractional positions:
Os 0.500 0.500 0.000
Os 0.000 0.000 0.000
Ca 0.000 0.500 0.500
Au 0.500 0.000 0.500

Properties
The value obtained for the formation energy is 0.49 eV/atom. The magnetic moment comes out at 0.00 μB/atom. The space group is Pmmm (47).

=====

MgCdH2 | PBE-GGA | relaxed

a b c (Å): 4.159 4.159 4.159
angles (deg): 60.00 60.00 60.00
Fractional positions:
Cd 0.500 0.500 0.500
Mg 0.000 0.000 0.000
H 0.750 0.750 0.750
H 0.250 0.250 0.250

Properties
The magnetic moment comes out at 0.00 μB/atom. Its total DFT energy (no corrections) is -7.35 eV per cell. The space group is Fm-3m (225).

=====

Hf2TlZn2 | PBE-GGA | relaxed

a b c (Å): 8.079 8.079 3.192
angles (deg): 90.00 90.00 90.00
Fractional positions:
Zn 0.166 0.666 0.500
Zn 0.334 0.166 0.500
Zn 0.834 0.334 0.500
Zn 0.666 0.834 0.500
Hf 0.368 0.868 0.000
Hf 0.132 0.368 0.000
Hf 0.868 0.632 0.000
Hf 0.632 0.132 0.000
Tl 0.500 0.500 0.000
Tl 0.000 0.000 0.000

Properties
The value obtained for the formation energy is 0.15 eV/atom. The magnetic moment comes out at 0.00 μB/atom. The space group is P4/mbm (127).

=====

Ca2Zn4GaAu3 | PBE-GGA | relaxed

a b c (Å): 4.114 4.114 11.942
angles (deg): 90.00 90.00 90.00
Fractional positions:
Ca 0.500 0.000 0.252
Ca 0.000 0.500 0.748
Au 0.000 0.500 0.144
Au 0.000 0.000 0.500
Au 0.500 0.000 0.856
Zn 0.000 0.000 0.000
Zn 0.500 0.500 0.000
Zn 0.000 0.500 0.360
Zn 0.500 0.000 0.640
Ga 0.500 0.500 0.500

Properties
The value obtained for the formation energy is -0.45 eV/atom. The magnetic moment comes out at 0.00 μB/atom. The space group is P-4m2 (115).

=====

BSbIr2 | PBE-GGA | relaxed

a b c (Å): 4.360 4.360 4.360
angles (deg): 60.00 60.00 60.00
Fractional positions:
Ir 0.750 0.750 0.750
Ir 0.250 0.250 0.250
Sb 0.500 0.500 0.500
B 0.000 0.000 0.000

Properties
The magnetic moment comes out at 0.04 μB/atom. The value obtained for the energy relative to the elements, uncorrected is 0.7492 eV/atom. The space group is Fm-3m (225).